Tc2HgPb (PBE, optimized geometry); total magnetic moment = 0.0 μB per formula unit; space-group type = R3m, No. 160; total energy = -5.7560 eV per atom; E_form = 41.4 kJ per mole of atoms
1.0
1.4955 0.8634 10.2695
-1.4955 0.8634 10.2695
0.0000 -1.7269 10.2695
Tc Hg Pb
2 1 1
direct
0.0000 0.0000 0.0000
0.2703 0.2703 0.2703
0.5232 0.5232 0.5232
0.7510 0.7510 0.7510

SmPuGa4 (PBE, optimized geometry); total magnetic moment = 5.8 μB per formula unit; space-group type = Immm, No. 71; total energy = -5.6897 eV per atom; E_form = -47.9 kJ per mole of atoms
1.0
-2.2154 3.7340 3.8467
2.2154 -3.7340 3.8467
2.2154 3.7340 -3.8467
Sm Pu Ga
1 1 4
direct
0.0000 0.0000 0.0000
0.5000 0.0000 0.5000
0.0855 0.3330 0.7525
0.4196 0.6670 0.7525
0.5804 0.3330 0.2475
0.9145 0.6670 0.2475